[1]
{
  "formula": "LaTbTm5",
  "functional": "PBE-GGA",
  "state": "optimized geometry",
  "lattice_angstrom": [[-2.881, 4.284, 5.898], [2.881, -4.284, 5.898], [2.881, 4.284, -5.898]],
  "species": ["La", "Tb", "Tm", "Tm", "Tm", "Tm", "Tm"],
  "fractional_positions": [[0.000, 0.000, 0.000], [0.500, 0.500, 0.000], [0.179, 0.500, 0.679], [0.255, 0.255, 0.000], [0.500, 0.000, 0.500], [0.745, 0.745, 0.000], [0.821, 0.500, 0.321]],
  "de_polymorph_mev_per_atom": 975,
  "formation_enthalpy_0k_ev_per_atom": 1.15,
  "density_g_cm3": 6.51
}

***

[2]
{
  "formula": "La4TbTm3",
  "functional": "PBE-GGA",
  "state": "optimized geometry",
  "lattice_angstrom": [[11.635, 0.000, 0.000], [0.000, 7.314, 0.000], [0.000, 0.000, 6.362]],
  "species": ["La", "La", "La", "La", "La", "La", "La", "La", "Tb", "Tb", "Tm", "Tm", "Tm", "Tm", "Tm", "Tm"],
  "fractional_positions": [[0.000, 0.128, 0.000], [0.000, 0.869, 0.519], [0.243, 0.126, 0.339], [0.257, 0.874, 0.839], [0.500, 0.131, 0.019], [0.500, 0.872, 0.500], [0.743, 0.874, 0.839], [0.757, 0.126, 0.339], [0.000, 0.623, 0.013], [0.500, 0.377, 0.513], [0.000, 0.384, 0.509], [0.250, 0.382, 0.839], [0.250, 0.618, 0.339], [0.500, 0.616, 0.009], [0.750, 0.382, 0.839], [0.750, 0.618, 0.339]],
  "formation_enthalpy_0k_ev_per_atom": 0.03,
  "density_g_cm3": 7.49
}

***

[3]
{
  "formula": "LaTb12Tm7",
  "functional": "PBE-GGA",
  "state": "optimized geometry",
  "lattice_angstrom": [[5.978, 3.451, 5.303], [-5.978, 3.451, 5.303], [0.000, -6.903, 5.303]],
  "species": ["La", "Tb", "Tb", "Tb", "Tb", "Tb", "Tb", "Tb", "Tb", "Tb", "Tb", "Tb", "Tb", "Tm", "Tm", "Tm", "Tm", "Tm", "Tm", "Tm"],
  "fractional_positions": [[0.000, 0.000, 0.000], [0.103, 0.345, 0.431], [0.231, 0.760, 0.351], [0.240, 0.649, 0.769], [0.345, 0.431, 0.103], [0.351, 0.231, 0.760], [0.431, 0.103, 0.345], [0.569, 0.897, 0.655], [0.649, 0.769, 0.240], [0.655, 0.569, 0.897], [0.760, 0.351, 0.231], [0.769, 0.240, 0.649], [0.897, 0.655, 0.569], [0.003, 0.372, 0.874], [0.126, 0.997, 0.628], [0.372, 0.874, 0.003], [0.500, 0.500, 0.500], [0.628, 0.126, 0.997], [0.874, 0.003, 0.372], [0.997, 0.628, 0.126]],
  "formation_enthalpy_0k_ev_per_atom": 0.24,
  "density_g_cm3": 8.17
}

***

[4]
{
  "formula": "LaTb14Tm",
  "functional": "PBE-GGA",
  "state": "optimized geometry",
  "lattice_angstrom": [[11.547, 0.000, 0.000], [0.000, 3.584, 6.208], [0.000, -3.584, 6.208]],
  "species": ["La", "Tb", "Tb", "Tb", "Tb", "Tb", "Tb", "Tb", "Tb", "Tb", "Tb", "Tb", "Tb", "Tb", "Tb", "Tm"],
  "fractional_positions": [[0.000, 0.000, 0.000], [0.000, 0.000, 0.501], [0.000, 0.501, 0.000], [0.249, 0.334, 0.334], [0.252, 0.335, 0.833], [0.252, 0.833, 0.335], [0.253, 0.833, 0.833], [0.500, 0.167, 0.167], [0.500, 0.168, 0.666], [0.500, 0.666, 0.168], [0.500, 0.667, 0.667], [0.747, 0.833, 0.833], [0.748, 0.335, 0.833], [0.748, 0.833, 0.335], [0.751, 0.334, 0.334], [0.000, 0.501, 0.501]],
  "formation_enthalpy_0k_ev_per_atom": 0.00,
  "density_g_cm3": 8.19
}

***

[5]
{
  "formula": "La2Tb6Tm3",
  "functional": "PBE-GGA",
  "state": "optimized geometry",
  "lattice_angstrom": [[3.056, -5.294, 0.000], [3.056, 5.294, 0.000], [-2.056, 0.000, 11.629]],
  "species": ["La", "La", "Tb", "Tb", "Tb", "Tb", "Tb", "Tb", "Tm", "Tm", "Tm"],
  "fractional_positions": [[0.167, 0.833, 0.000], [0.833, 0.167, 0.000], [0.081, 0.415, 0.743], [0.252, 0.252, 0.257], [0.415, 0.081, 0.743], [0.585, 0.919, 0.257], [0.748, 0.748, 0.743], [0.919, 0.585, 0.257], [0.000, 0.000, 0.500], [0.334, 0.666, 0.500], [0.666, 0.334, 0.500]],
  "formation_enthalpy_0k_ev_per_atom": 0.18,
  "density_g_cm3": 7.67
}

***

[6]
{
  "formula": "LaTb3Tm8",
  "functional": "PBE-GGA",
  "state": "optimized geometry",
  "lattice_angstrom": [[-3.158, 5.649, 5.653], [3.158, -5.649, 5.653], [3.158, 5.649, -5.653]],
  "species": ["La", "Tb", "Tb", "Tb", "Tm", "Tm", "Tm", "Tm", "Tm", "Tm", "Tm", "Tm"],
  "fractional_positions": [[0.000, 0.000, 0.000], [0.256, 0.500, 0.756], [0.500, 0.000, 0.500], [0.744, 0.500, 0.244], [0.079, 0.828, 0.251], [0.256, 0.009, 0.753], [0.256, 0.503, 0.247], [0.423, 0.172, 0.251], [0.577, 0.828, 0.749], [0.744, 0.497, 0.753], [0.744, 0.991, 0.247], [0.921, 0.172, 0.749]],
  "formation_enthalpy_0k_ev_per_atom": 0.32,
  "density_g_cm3": 8.10
}

***

[7]
{
  "formula": "La8Tb5Tm",
  "functional": "PBE-GGA",
  "state": "optimized geometry",
  "lattice_angstrom": [[6.169, -4.849, 0.000], [6.169, 4.849, 0.000], [-6.134, 0.000, 8.241]],
  "species": ["La", "La", "La", "La", "La", "La", "La", "La", "Tb", "Tb", "Tb", "Tb", "Tb", "Tm"],
  "fractional_positions": [[0.047, 0.047, 0.194], [0.057, 0.661, 0.293], [0.117, 0.404, 0.938], [0.339, 0.943, 0.707], [0.470, 0.159, 0.558], [0.596, 0.883, 0.062], [0.841, 0.530, 0.442], [0.953, 0.953, 0.806], [0.260, 0.539, 0.746], [0.427, 0.301, 0.268], [0.461, 0.740, 0.254], [0.699, 0.573, 0.732], [0.885, 0.115, 0.500], [0.653, 0.347, 0.000]],
  "formation_enthalpy_0k_ev_per_atom": 0.18,
  "density_g_cm3": 6.99
}

***

[8]
{
  "formula": "La12TbTm6",
  "functional": "PBE-GGA",
  "state": "optimized geometry",
  "lattice_angstrom": [[7.944, 4.586, 2.995], [-7.944, 4.586, 2.995], [0.000, -9.173, 2.995]],
  "species": ["La", "La", "La", "La", "La", "La", "La", "La", "La", "La", "La", "La", "Tb", "Tm", "Tm", "Tm", "Tm", "Tm", "Tm"],
  "fractional_positions": [[0.058, 0.373, 0.581], [0.104, 0.737, 0.157], [0.157, 0.104, 0.737], [0.263, 0.843, 0.896], [0.373, 0.581, 0.058], [0.419, 0.942, 0.627], [0.581, 0.058, 0.373], [0.627, 0.419, 0.942], [0.737, 0.157, 0.104], [0.843, 0.896, 0.263], [0.896, 0.263, 0.843], [0.942, 0.627, 0.419], [0.000, 0.000, 0.000], [0.216, 0.471, 0.319], [0.319, 0.216, 0.471], [0.471, 0.319, 0.216], [0.529, 0.681, 0.784], [0.681, 0.784, 0.529], [0.784, 0.529, 0.681]],
  "formation_enthalpy_0k_ev_per_atom": 0.03,
  "density_g_cm3": 7.20
}